Compound: Na2PrSnS4
Source: Alexandria
Functional: PBE-GGA
Structure: optimized geometry

## Properties
VASP energy: -4.714 eV per atom
Symmetry: P2/m (10)
Formation energy without anion corrections: -1.22 eV/atom

Cell: 4.045 7.109 7.067 Å, 70.88 90.00 90.00°
Fractional coordinates of all 8 atoms:
1 S 0.500 0.268 0.756
2 Na 0.000 0.000 0.000
3 S 0.500 0.732 0.244
4 S 0.000 0.270 0.235
5 Pr 0.000 0.500 0.500
6 Na 0.500 0.000 0.500
7 Sn 0.500 0.500 0.000
8 S 0.000 0.730 0.765

=====

Compound: ThFe5P3
Source: Alexandria
Functional: PBE-GGA
Structure: optimized geometry

## Properties
VASP energy: -8.044 eV per atom
E above lowest polymorph: 0.00 kJ/mol of atoms
Symmetry: Pnma (62)
Energy relative to the elements: -0.71 eV/atom

Cell: 3.728 10.417 11.905 Å, 90.00 90.00 90.00°
Site moments in Bohr magnetons follow the coordinates.
Fractional coordinates of all 36 atoms:
1 P 0.750 0.924 0.390  -0.01
2 P 0.750 0.109 0.102  0.00
3 P 0.750 0.576 0.890  -0.01
4 Fe 0.250 0.621 0.201  0.68
5 Fe 0.750 0.121 0.299  0.68
6 Fe 0.250 0.795 0.491  -1.32
7 Fe 0.750 0.295 0.009  -1.32
8 Fe 0.750 0.723 0.328  0.84
9 Fe 0.750 0.534 0.067  0.03
10 Fe 0.750 0.966 0.567  0.03
11 Th 0.250 0.921 0.203  -0.01
12 P 0.750 0.391 0.602  0.00
13 Th 0.250 0.579 0.703  -0.01
14 Fe 0.750 0.205 0.509  -1.32
15 P 0.750 0.725 0.134  -0.01
16 P 0.250 0.076 0.610  -0.01
17 Fe 0.250 0.879 0.701  0.68
18 Fe 0.750 0.777 0.828  0.84
19 P 0.250 0.609 0.398  0.00
20 Fe 0.250 0.034 0.433  0.03
21 Th 0.750 0.421 0.297  -0.01
22 Fe 0.750 0.379 0.799  0.68
23 Fe 0.250 0.097 0.988  0.48
24 P 0.750 0.775 0.634  -0.01
25 Fe 0.250 0.466 0.933  0.03
26 P 0.250 0.424 0.110  -0.01
27 Fe 0.250 0.277 0.672  0.84
28 Fe 0.250 0.223 0.172  0.84
29 P 0.250 0.275 0.866  -0.01
30 Th 0.750 0.079 0.797  -0.01
31 P 0.250 0.891 0.898  0.00
32 Fe 0.750 0.597 0.512  0.48
33 Fe 0.250 0.705 0.991  -1.32
34 Fe 0.250 0.403 0.488  0.48
35 P 0.250 0.225 0.366  -0.01
36 Fe 0.750 0.903 0.012  0.48

=====

Compound: Ba2GaAg4Sn3
Source: Alexandria
Functional: PBE-GGA
Structure: optimized geometry

## Properties
VASP energy: -3.383 eV per atom
Symmetry: P-4m2 (115)
Energy relative to the elements: -0.35 eV/atom

Cell: 4.861 4.861 11.310 Å, 90.00 90.00 90.00°
Fractional coordinates of all 10 atoms:
1 Ag 0.500 0.500 0.000
2 Sn 0.000 0.500 0.128
3 Ba 0.500 0.000 0.248
4 Ga 0.500 0.500 0.500
5 Sn 0.000 0.000 0.500
6 Sn 0.500 0.000 0.872
7 Ag 0.500 0.000 0.625
8 Ag 0.000 0.000 0.000
9 Ba 0.000 0.500 0.752
10 Ag 0.000 0.500 0.375

=====

Compound: ScTa2Cl
Source: Alexandria
Functional: PBE-GGA
Structure: optimized geometry

## Properties
VASP energy: -7.659 eV per atom
E above lowest polymorph: 49.00 kJ/mol of atoms
Symmetry: Imm2 (44)
Formation energy without anion corrections: 0.31 eV/atom

Cell: 5.510 5.510 5.510 Å, 147.58 121.19 68.78°
Fractional coordinates of all 4 atoms:
1 Cl 0.507 0.507 0.000
2 Sc 0.274 0.774 0.500
3 Ta 0.995 0.995 0.000
4 Ta 0.724 0.224 0.500

=====

Compound: Cr2Mo2Pt
Source: Alexandria
Functional: PBE-GGA
Structure: optimized geometry

## Properties
VASP energy: -9.193 eV per atom
E above lowest polymorph: 0.00 kJ/mol of atoms
Symmetry: P4/mbm (127)
Energy relative to the elements: 0.20 eV/atom

Cell: 6.887 6.887 3.038 Å, 90.00 90.00 90.00°
Fractional coordinates of all 10 atoms:
1 Mo 0.802 0.302 0.500
2 Cr 0.893 0.607 0.000
3 Pt 0.500 0.500 0.000
4 Pt 0.000 0.000 0.000
5 Cr 0.107 0.393 0.000
6 Cr 0.607 0.107 0.000
7 Cr 0.393 0.893 0.000
8 Mo 0.302 0.198 0.500
9 Mo 0.698 0.802 0.500
10 Mo 0.198 0.698 0.500

=====

Compound: PuPa6Tc5
Source: Alexandria
Functional: PBE-GGA
Structure: optimized geometry

## Properties
VASP energy: -10.407 eV per atom
E above lowest polymorph: 0.00 kJ/mol of atoms
Symmetry: Cmmm (65)
Energy relative to the elements: -0.15 eV/atom

Cell: 5.090 6.904 7.364 Å, 89.98 110.20 90.00°
Site moments in Bohr magnetons follow the coordinates.
Fractional coordinates of all 12 atoms:
1 Tc 0.000 0.500 0.000  -0.01
2 Pa 0.164 0.244 0.328  -0.11
3 Pa 0.500 0.754 0.000  -0.11
4 Tc 0.667 0.500 0.334  0.00
5 Pu 0.000 0.000 0.000  3.38
6 Tc 0.677 0.000 0.354  -0.07
7 Tc 0.323 0.000 0.646  -0.07
8 Pa 0.164 0.756 0.328  -0.11
9 Pa 0.836 0.756 0.672  -0.11
10 Pa 0.500 0.246 0.000  -0.11
11 Tc 0.333 0.500 0.666  0.00
12 Pa 0.836 0.244 0.672  -0.11

=====

Compound: KHg2Pt
Source: Alexandria
Functional: PBE-GGA
Structure: optimized geometry

## Properties
VASP energy: -2.107 eV per atom
E above lowest polymorph: 0.00 kJ/mol of atoms
Symmetry: Cmcm (63)
Energy relative to the elements: -0.17 eV/atom

Cell: 4.590 6.292 7.887 Å, 90.00 90.00 111.39°
Fractional coordinates of all 8 atoms:
1 Hg 0.345 0.690 0.554
2 K 0.061 0.122 0.750
3 K 0.939 0.878 0.250
4 Hg 0.345 0.690 0.946
5 Pt 0.218 0.436 0.250
6 Hg 0.655 0.310 0.054
7 Pt 0.782 0.564 0.750
8 Hg 0.655 0.310 0.446

=====

Compound: Cs2CaAs2S6
Source: Alexandria
Functional: PBE-GGA
Structure: optimized geometry

## Properties
VASP energy: -4.224 eV per atom
Symmetry: C2/m (12)
Formation energy without anion corrections: -0.79 eV/atom

Cell: 7.287 7.363 8.410 Å, 116.40 90.00 119.66°
Fractional coordinates of all 11 atoms:
1 S 0.212 0.925 0.213
2 As 0.042 0.084 0.178
3 S 0.238 0.477 0.320
4 Ca 0.500 0.000 0.500
5 Cs 0.721 0.442 0.217
6 Cs 0.279 0.558 0.783
7 As 0.958 0.916 0.822
8 S 0.788 0.075 0.787
9 S 0.713 0.925 0.213
10 S 0.762 0.523 0.680
11 S 0.287 0.075 0.787

=====

Compound: CeCuH8Ir2
Source: Alexandria
Functional: PBE-GGA
Structure: optimized geometry

## Properties
VASP energy: -4.690 eV per atom
Symmetry: R-3m (166)

Cell: 4.737 4.737 5.928 Å, 66.45 66.45 60.00°
Site moments in Bohr magnetons follow the coordinates.
Fractional coordinates of all 12 atoms:
1 Ir 0.284 0.284 0.147  -0.01
2 Ce 0.500 0.500 0.500  0.72
3 H 0.940 0.940 0.749  0.00
4 Ir 0.716 0.716 0.853  -0.01
5 Cu 0.000 0.000 0.000  0.00
6 H 0.060 0.060 0.251  0.00
7 H 0.629 0.060 0.251  0.00
8 H 0.371 0.940 0.749  0.00
9 H 0.940 0.371 0.749  0.00
10 H 0.818 0.818 0.545  0.00
11 H 0.182 0.182 0.455  0.00
12 H 0.060 0.629 0.251  0.00

=====

Compound: CaLa2Y4
Source: Alexandria
Functional: PBE-GGA
Structure: optimized geometry

## Properties
VASP energy: -5.348 eV per atom
Symmetry: R-3m (166)
Energy relative to the elements: 0.04 eV/atom

Cell: 3.657 3.657 21.115 Å, 85.03 85.03 60.00°
Fractional coordinates of all 7 atoms:
1 Y 0.717 0.717 0.850
2 La 0.571 0.571 0.288
3 Y 0.283 0.283 0.150
4 Ca 0.000 0.000 0.000
5 Y 0.144 0.144 0.568
6 Y 0.856 0.856 0.432
7 La 0.429 0.429 0.712

=====

Compound: Tb2PrSmTh
Source: Alexandria
Functional: PBE-GGA
Structure: optimized geometry

## Properties
VASP energy: -5.187 eV per atom
Symmetry: P2_1/m (11)
Energy relative to the elements: 0.05 eV/atom

Cell: 5.856 6.282 9.665 Å, 71.03 90.00 90.00°
Fractional coordinates of all 10 atoms:
1 Th 0.250 0.963 0.907
2 Tb 0.750 0.835 0.493
3 Sm 0.750 0.429 0.297
4 Pr 0.750 0.223 0.706
5 Pr 0.250 0.777 0.294
6 Tb 0.750 0.643 0.903
7 Sm 0.250 0.571 0.703
8 Tb 0.250 0.165 0.507
9 Tb 0.250 0.357 0.097
10 Th 0.750 0.037 0.093

=====

Compound: MgTc2HgAs
Source: Alexandria
Functional: PBE-GGA
Structure: optimized geometry

## Properties
VASP energy: -3.660 eV per atom
Symmetry: P4/mmm (123)
Energy relative to the elements: 1.80 eV/atom

Cell: 5.171 5.096 5.171 Å, 90.00 90.00 90.00°
Site moments in Bohr magnetons follow the coordinates.
Fractional coordinates of all 5 atoms:
1 Hg 0.000 0.000 0.000  0.03
2 Tc 0.500 0.000 0.000  2.70
3 Tc 0.000 0.000 0.500  3.17
4 Mg 0.500 0.500 0.500  -0.04
5 As 0.000 0.500 0.000  0.01

=====

Compound: ScZnAs2
Source: Alexandria
Functional: PBE-GGA
Structure: optimized geometry

## Properties
VASP energy: -4.707 eV per atom
Symmetry: P4/mmm (123)
Energy relative to the elements: -0.48 eV/atom

Cell: 4.446 4.446 3.660 Å, 90.00 90.00 90.00°
Fractional coordinates of all 4 atoms:
1 As 0.000 0.000 0.000
2 Sc 0.500 0.000 0.500
3 As 0.500 0.500 0.000
4 Zn 0.000 0.500 0.500

=====

Compound: Ge2Sb5Pd12
Source: Alexandria
Functional: PBE-GGA
Structure: optimized geometry

## Properties
VASP energy: -5.207 eV per atom
Symmetry: C2/m (12)
Formation energy without anion corrections: -0.36 eV/atom

Cell: 7.530 7.148 7.956 Å, 82.27 90.00 121.78°
Fractional coordinates of all 19 atoms:
1 Pd 0.027 0.055 0.171
2 Sb 0.343 0.686 0.563
3 Pd 0.481 0.343 0.144
4 Pd 0.474 0.949 0.246
5 Pd 0.042 0.689 0.365
6 Pd 0.958 0.311 0.635
7 Sb 0.000 0.000 0.500
8 Sb 0.268 0.537 0.150
9 Pd 0.519 0.657 0.856
10 Ge 0.731 0.000 0.000
11 Pd 0.353 0.311 0.635
12 Pd 0.647 0.689 0.365
13 Pd 0.526 0.051 0.754
14 Pd 0.973 0.945 0.829
15 Sb 0.732 0.463 0.850
16 Pd 0.139 0.657 0.856
17 Sb 0.657 0.314 0.437
18 Pd 0.861 0.343 0.144
19 Ge 0.269 0.000 0.000

=====

Compound: LiFe4Ir
Source: Alexandria
Functional: PBE-GGA
Structure: optimized geometry

## Properties
VASP energy: -7.337 eV per atom
Symmetry: F-43m (216)
Energy relative to the elements: 0.10 eV/atom

Cell: 4.729 4.729 4.729 Å, 60.00 60.00 60.00°
Site moments in Bohr magnetons follow the coordinates.
Fractional coordinates of all 6 atoms:
1 Fe 0.625 0.625 0.625  2.23
2 Fe 0.625 0.625 0.124  2.23
3 Fe 0.124 0.625 0.625  2.23
4 Fe 0.625 0.124 0.625  2.23
5 Li 0.000 0.000 0.000  -0.04
6 Ir 0.250 0.250 0.250  0.75

=====

Compound: In2HgGe2
Source: Alexandria
Functional: PBE-GGA
Structure: optimized geometry

## Properties
VASP energy: -2.838 eV per atom
E above lowest polymorph: 3.43 kJ/mol of atoms
Symmetry: P4/mbm (127)
Energy relative to the elements: 0.16 eV/atom

Cell: 7.550 7.550 4.289 Å, 90.00 90.00 90.00°
Fractional coordinates of all 10 atoms:
1 In 0.178 0.678 0.500
2 Ge 0.625 0.125 0.000
3 In 0.322 0.178 0.500
4 Ge 0.875 0.625 0.000
5 In 0.678 0.822 0.500
6 Ge 0.125 0.375 0.000
7 Hg 0.500 0.500 0.000
8 Ge 0.375 0.875 0.000
9 In 0.822 0.322 0.500
10 Hg 0.000 0.000 0.000

=====

Compound: RuAuSe2
Source: Alexandria
Functional: PBE-GGA
Structure: optimized geometry

## Properties
VASP energy: -4.556 eV per atom
Symmetry: R-3m (166)
Formation energy without anion corrections: 0.33 eV/atom

Cell: 12.210 12.210 12.210 Å, 13.30 13.30 13.30°
Fractional coordinates of all 4 atoms:
1 Au 0.500 0.500 0.500
2 Se 0.934 0.934 0.934
3 Se 0.066 0.066 0.066
4 Ru 0.000 0.000 0.000

=====

Compound: NbAsPd3
Source: Alexandria
Functional: PBE-GGA
Structure: optimized geometry

## Properties
VASP energy: -5.636 eV per atom
E above lowest polymorph: 0.00 kJ/mol of atoms
Symmetry: Pm-3m (221)
Energy relative to the elements: 0.42 eV/atom

Cell: 4.616 4.616 4.616 Å, 90.00 90.00 90.00°
Site moments in Bohr magnetons follow the coordinates.
Fractional coordinates of all 5 atoms:
1 Pd 0.500 0.000 0.000  -0.01
2 Pd 0.000 0.000 0.500  0.01
3 Pd 0.000 0.500 0.000  0.00
4 Nb 0.500 0.500 0.500  1.94
5 As 0.000 0.000 0.000  -0.05

=====

Compound: La5Ru4
Source: Alexandria
Functional: PBE-GGA
Structure: optimized geometry

## Properties
VASP energy: -6.738 eV per atom
E above lowest polymorph: 19.54 kJ/mol of atoms
Symmetry: I4/mmm (139)
Energy relative to the elements: 0.12 eV/atom

Cell: 6.741 6.741 6.741 Å, 100.29 100.29 129.99°
Fractional coordinates of all 9 atoms:
1 La 0.692 0.308 0.000
2 La 0.308 0.692 0.000
3 Ru 0.655 0.000 0.655
4 Ru 0.000 0.655 0.655
5 Ru 0.345 0.000 0.345
6 La 0.308 0.308 0.615
7 Ru 0.000 0.345 0.345
8 La 0.000 0.000 0.000
9 La 0.692 0.692 0.385

=====

Compound: TbPmPr2Te5
Source: Alexandria
Functional: PBE-GGA
Structure: optimized geometry

## Properties
VASP energy: -4.695 eV per atom
Symmetry: P4/mmm (123)
Formation energy without anion corrections: -0.84 eV/atom

Cell: 5.560 5.560 11.782 Å, 90.00 90.00 90.00°
Site moments in Bohr magnetons follow the coordinates.
Fractional coordinates of all 9 atoms:
1 Te 0.000 0.500 0.500  0.00
2 Te 0.500 0.000 0.500  0.00
3 Te 0.000 0.000 0.248  0.00
4 Pr 0.500 0.500 0.339  0.15
5 Pm 0.000 0.000 0.000  0.01
6 Te 0.500 0.500 0.000  0.01
7 Tb 0.000 0.000 0.500  0.02
8 Te 0.000 0.000 0.752  0.00
9 Pr 0.500 0.500 0.661  0.15

=====

Compound: MgNpCoTc
Source: Alexandria
Functional: PBE-GGA
Structure: optimized geometry

## Properties
VASP energy: -7.868 eV per atom
Symmetry: F-43m (216)
Energy relative to the elements: 0.13 eV/atom

Cell: 4.525 4.525 4.525 Å, 60.00 60.00 60.00°
Site moments in Bohr magnetons follow the coordinates.
Fractional coordinates of all 4 atoms:
1 Mg 0.000 0.000 0.000  0.01
2 Co 0.750 0.750 0.750  -0.72
3 Np 0.500 0.500 0.500  3.20
4 Tc 0.250 0.250 0.250  -0.49

=====

Compound: SmDy2S4
Source: Alexandria
Functional: PBE-GGA
Structure: optimized geometry

## Properties
VASP energy: -6.413 eV per atom
E above lowest polymorph: 0.00 kJ/mol of atoms
Symmetry: Cmcm (63)
Formation energy without anion corrections: -2.07 eV/atom

Cell: 3.845 6.761 13.185 Å, 90.00 90.00 106.52°
Fractional coordinates of all 14 atoms:
1 S 0.226 0.451 0.879
2 Sm 0.375 0.749 0.250
3 Dy 0.130 0.259 0.431
4 Dy 0.130 0.259 0.069
5 Sm 0.625 0.251 0.750
6 Dy 0.870 0.741 0.931
7 S 0.774 0.549 0.121
8 S 0.774 0.549 0.379
9 S 0.033 0.066 0.250
10 S 0.226 0.451 0.621
11 S 0.500 0.000 0.500
12 S 0.967 0.934 0.750
13 S 0.500 0.000 0.000
14 Dy 0.870 0.741 0.569

=====

Compound: OsRuF2
Source: Alexandria
Functional: PBE-GGA
Structure: optimized geometry

## Properties
VASP energy: -6.219 eV per atom
E above lowest polymorph: 12.01 kJ/mol of atoms
Symmetry: R-3m (166)
Formation energy without anion corrections: -0.16 eV/atom

Cell: 9.957 9.957 9.957 Å, 15.20 15.20 15.20°
Site moments in Bohr magnetons follow the coordinates.
Fractional coordinates of all 4 atoms:
1 F 0.936 0.936 0.936  0.01
2 F 0.064 0.064 0.064  0.01
3 Os 0.500 0.500 0.500  1.03
4 Ru 0.000 0.000 0.000  0.00

=====

no.,mass density (g/cm³)
1,3.75
2,8.68
3,7.03
4,9.70
5,11.31
6,14.50
7,9.95
8,3.19
9,9.69
10,4.60
11,8.31
12,6.04
13,5.97
14,9.38
15,9.38
16,7.82
17,9.04
18,8.22
19,8.58
20,5.58
21,10.60
22,6.10
23,9.26